Here is NaPdS after structural relaxation from the Alexandria database. Energies are from PBE.

extended XYZ file:
```
3
Lattice="4.0353 0.0000 0.0000 -2.0176 3.4946 0.0000 0.0000 0.0000 4.2978" Properties=species:S:1:pos:R:3 pbc="T T T"
Na 0.0000 0.0000 0.0000
Pd 2.0176 1.1649 2.1489
S 0.0000 2.3298 2.1489
```

Properties
The final energy comes out at -0.15204 hartree per atom. Its space group is P-6m2 (187). The formation energy (no corrections) comes out at -1.77 eV/f.u.


Here is NaTe2H2 after structural relaxation from the Alexandria database. Energies are from PBE.

extended XYZ file:
```
10
Lattice="4.9969 -2.0911 0.0000 4.9969 2.0911 0.0000 -4.1125 0.0000 12.1238" Properties=species:S:1:pos:R:3 pbc="T T T"
Na 1.9125 1.4268 9.0929
Na 3.9688 -1.4268 3.0310
Te 1.8666 0.8622 1.5201
Te -0.1897 -0.8622 7.5820
Te 6.0710 0.8622 4.5418
Te 4.0147 -0.8622 10.6037
H 0.1915 0.7563 7.2059
H 2.2478 -0.7563 1.1440
H 3.6335 0.7563 10.9798
H 5.6897 -0.7563 4.9179
```

Properties
The final energy comes out at -0.10745 hartree per atom. Its space group is C2/c (15). As for the energy above the lowest structure with this stoichiometry: 4 meV/atom.


Here is LaTe2Os after structural relaxation from the Alexandria database. Energies are from PBE.

extended XYZ file:
```
4
Lattice="5.0240 0.0000 0.0000 0.0000 5.0240 0.0000 0.0000 0.0000 3.7579" Properties=species:S:1:pos:R:3 pbc="T T T"
La 0.0000 0.0000 0.0000
Te 0.0000 2.5120 1.8789
Te 2.5120 0.0000 1.8789
Os 2.5120 2.5120 0.0000
```

Properties
The final energy comes out at -0.21124 hartree per atom. Its space group is P4/mmm (123). As for the energy above the lowest structure with this stoichiometry: 296 meV/atom. The formation energy (no corrections) comes out at -0.55 eV/f.u.


Here is Cd2CuTe after structural relaxation from the Alexandria database. Energies are from PBE.

extended XYZ file:
```
16
Lattice="5.6394 0.0000 0.0000 0.0000 5.7442 0.0000 0.0000 0.0000 11.4749" Properties=species:S:1:pos:R:3 pbc="T T T"
Cd 1.4098 0.0000 2.8687
Cd 1.4098 0.0000 8.6062
Cd 1.4098 2.8721 2.8687
Cd 1.4098 2.8721 8.6062
Cd 4.2295 0.0000 2.8687
Cd 4.2295 0.0000 8.6062
Cd 4.2295 2.8721 2.8687
Cd 4.2295 2.8721 8.6062
Cu 0.0000 0.0000 0.0000
Cu 0.0000 2.8721 5.7374
Cu 2.8197 0.0000 5.7374
Cu 2.8197 2.8721 0.0000
Te 0.0000 0.0000 5.7374
Te 0.0000 2.8721 0.0000
Te 2.8197 0.0000 0.0000
Te 2.8197 2.8721 5.7374
```

Properties
The final energy comes out at -0.07741 hartree per atom. Its space group is Fmmm (69). The formation energy (no corrections) comes out at 0.64 eV/f.u.


Here is ScAl3Tl after structural relaxation from the Alexandria database. Energies are from PBE.

extended XYZ file:
```
5
Lattice="5.3605 0.0000 0.0000 0.0000 5.3605 0.0000 0.0000 0.0000 5.3605" Properties=species:S:1:pos:R:3 pbc="T T T"
Sc 0.0000 0.0000 0.0000
Al 0.0000 0.0000 2.6802
Al 0.0000 2.6802 0.0000
Al 2.6802 0.0000 0.0000
Tl 2.6802 2.6802 2.6802
```

Properties
The final energy comes out at -0.11827 hartree per atom. The calculated formation energy is 767 meV/atom. Its space group is Pm-3m (221). As for the energy above the lowest structure with this stoichiometry: 0 meV/atom.


Here is Y2TmThSc4 after structural relaxation from the Alexandria database. Energies are from PBE.

extended XYZ file:
```
8
Lattice="4.9403 0.0000 0.0000 0.0000 4.9403 0.0000 0.0000 0.0000 9.1799" Properties=species:S:1:pos:R:3 pbc="T T T"
Y 0.0000 0.0000 0.0000
Y 2.4701 2.4701 4.5899
Tm 0.0000 0.0000 4.5899
Th 2.4701 2.4701 0.0000
Sc 0.0000 2.4701 2.2779
Sc 0.0000 2.4701 6.9019
Sc 2.4701 0.0000 2.2779
Sc 2.4701 0.0000 6.9019
```

Properties
The final energy comes out at -0.22856 hartree per atom. The calculated formation energy is 49 meV/atom. Its space group is P4/mmm (123).


Here is Hg2PCl after structural relaxation from the Alexandria database. Energies are from PBE.

extended XYZ file:
```
16
Lattice="7.0510 0.0000 0.0000 0.0000 7.0510 0.0000 0.0000 0.0000 7.0510" Properties=species:S:1:pos:R:3 pbc="T T T"
Hg 1.7627 1.7627 1.7627
Hg 1.7627 1.7627 5.2882
Hg 1.7627 5.2882 1.7627
Hg 1.7627 5.2882 5.2882
Hg 5.2882 1.7627 1.7627
Hg 5.2882 1.7627 5.2882
Hg 5.2882 5.2882 1.7627
Hg 5.2882 5.2882 5.2882
P 0.0000 0.0000 0.0000
P 0.0000 3.5255 3.5255
P 3.5255 0.0000 3.5255
P 3.5255 3.5255 0.0000
Cl 0.0000 0.0000 3.5255
Cl 0.0000 3.5255 0.0000
Cl 3.5255 0.0000 0.0000
Cl 3.5255 3.5255 3.5255
```

Properties
The final energy comes out at -0.05743 hartree per atom. Its space group is Fm-3m (225). As for the energy above the lowest structure with this stoichiometry: 658 meV/atom. The formation energy (no corrections) comes out at 1.61 eV/f.u.


Here is Pr2NpNi3Rh12 after structural relaxation from the Alexandria database. Energies are from PBE.

extended XYZ file:
```
18
Lattice="3.9161 2.2610 6.5080 -3.9161 2.2610 6.5080 0.0000 -4.5219 6.5080" Properties=species:S:1:pos:R:3 pbc="T T T"
Pr 0.0000 0.0000 2.2130
Pr 0.0000 0.0000 17.3110
Np 0.0000 0.0000 9.7620
Ni -1.9581 -1.1305 6.5080
Ni -1.9580 1.1305 13.0160
Ni 0.0000 2.2610 6.5080
Rh -2.0042 -1.1571 8.9280
Rh 0.0000 -2.2159 5.7703
Rh -1.9190 1.1079 5.7703
Rh 0.0000 -2.3142 10.5960
Rh -2.0042 1.1571 10.5960
Rh -1.9190 -1.1079 13.7536
Rh 1.9190 1.1079 5.7703
Rh 2.0042 -1.1571 8.9280
Rh 0.0000 2.3142 8.9280
Rh 1.9190 -1.1079 13.7536
Rh 0.0000 2.2159 13.7536
Rh 2.0042 1.1571 10.5960
```

Properties
The final energy comes out at -0.24923 hartree per atom. The calculated formation energy is 333 meV/atom. Its space group is R-3m (166).


Here is Re3PtBr after structural relaxation from the Alexandria database. Energies are from PBE.

extended XYZ file:
```
5
Lattice="4.8636 0.0000 0.0000 0.0000 4.8636 0.0000 0.0000 0.0000 4.8636" Properties=species:S:1:pos:R:3 pbc="T T T"
Re 0.0000 0.0000 2.4318
Re 0.0000 2.4318 0.0000
Re 2.4318 0.0000 0.0000
Pt 0.0000 0.0000 0.0000
Br 2.4318 2.4318 2.4318
```

Properties
The final energy comes out at -0.23370 hartree per atom. Its space group is Pm-3m (221). As for the energy above the lowest structure with this stoichiometry: 397 meV/atom. The formation energy (no corrections) comes out at 13.26 eV/f.u.


Here is CeGdCuPd after structural relaxation from the Alexandria database. Energies are from PBE.

extended XYZ file:
```
16
Lattice="7.1032 0.0000 0.0000 0.0000 7.1032 0.0000 0.0000 0.0000 7.1032" Properties=species:S:1:pos:R:3 pbc="T T T"
Ce 0.0000 0.0000 0.0000
Ce 0.0000 3.5516 3.5516
Ce 3.5516 0.0000 3.5516
Ce 3.5516 3.5516 0.0000
Gd 0.0000 0.0000 3.5516
Gd 0.0000 3.5516 0.0000
Gd 3.5516 0.0000 0.0000
Gd 3.5516 3.5516 3.5516
Cu 1.7758 1.7758 1.7758
Cu 1.7758 5.3274 5.3274
Cu 5.3274 1.7758 5.3274
Cu 5.3274 5.3274 1.7758
Pd 1.7758 1.7758 5.3274
Pd 1.7758 5.3274 1.7758
Pd 5.3274 1.7758 1.7758
Pd 5.3274 5.3274 5.3274
```

Properties
The final energy comes out at -0.28427 hartree per atom. The calculated formation energy is -409 meV/atom. Its space group is F-43m (216).


Here is LiAgP2 after structural relaxation from the Alexandria database. Energies are from PBE.

extended XYZ file:
```
16
Lattice="6.3634 0.0000 0.0000 0.0000 6.3634 0.0000 0.0000 0.0000 6.3634" Properties=species:S:1:pos:R:3 pbc="T T T"
Li 0.0000 0.0000 0.0000
Li 0.0000 3.1817 3.1817
Li 3.1817 0.0000 3.1817
Li 3.1817 3.1817 0.0000
Ag 0.0000 0.0000 3.1817
Ag 0.0000 3.1817 0.0000
Ag 3.1817 0.0000 0.0000
Ag 3.1817 3.1817 3.1817
P 1.5909 1.5909 1.5909
P 1.5909 1.5909 4.7726
P 1.5909 4.7726 1.5909
P 1.5909 4.7726 4.7726
P 4.7726 1.5909 1.5909
P 4.7726 1.5909 4.7726
P 4.7726 4.7726 1.5909
P 4.7726 4.7726 4.7726
```

Properties
The final energy comes out at -0.13607 hartree per atom. The calculated formation energy is 194 meV/atom. Its space group is Fm-3m (225). As for the energy above the lowest structure with this stoichiometry: 332 meV/atom.


Here is Tl2CrRe after structural relaxation from the Alexandria database. Energies are from PBE.

extended XYZ file:
```
4
Lattice="4.4144 0.0000 0.0000 0.0000 4.4144 0.0000 0.0000 0.0000 3.9069" Properties=species:S:1:pos:R:3 pbc="T T T"
Tl 0.0000 2.2072 0.0000
Tl 2.2072 0.0000 0.0000
Cr 0.0000 0.0000 1.9535
Re 2.2072 2.2072 1.9535
```

Properties
The final energy comes out at -0.20806 hartree per atom. The calculated formation energy is 1039 meV/atom. Its space group is P4/mmm (123). As for the energy above the lowest structure with this stoichiometry: 524 meV/atom.


Number 1: spin magnetization 0.0000 μB/atom. Number 2: spin magnetization 0.0000 μB/atom. Number 3: spin magnetization 0.0001 μB/atom. Number 4: spin magnetization 0.0000 μB/atom. Number 5: spin magnetization 0.0000 μB/atom. Number 6: spin magnetization 0.0000 μB/atom. Number 7: spin magnetization 0.0000 μB/atom. Number 8: spin magnetization 0.0001 μB/atom. Number 9: spin magnetization 0.9356 μB/atom. Number 10: spin magnetization 1.9900 μB/atom. Number 11: spin magnetization 0.0000 μB/atom. Number 12: spin magnetization 0.8560 μB/atom.